## one
A relaxed TaSb2TeP crystal, computed with PBE-GGA.

abc: 5.396 5.396 5.266
angles: 90.00 90.00 90.00
Space group P4/mmm (No. 123)
Unique sites:
Ta 0.000 0.000 0.000
Sb 0.000 0.500 0.000
Te 0.000 0.000 0.500
P 0.500 0.500 0.500

Output
Total magnetization: 1.475 μB per formula unit



## two
A relaxed TaSb2TeP crystal, computed with PBE-GGA.

abc: 4.987 4.987 5.139
angles: 90.00 90.00 90.00
Space group P4/mmm (No. 123)
Unique sites:
Ta 0.000 0.000 0.000
Sb 0.000 0.500 0.500
Te 0.500 0.500 0.000
P 0.500 0.500 0.500

Output
Total magnetization: 0.000 μB per formula unit



Which of them is least stable? Easy: two.



## one
A relaxed ZrTaSb2P crystal, computed with PBE-GGA.

abc: 5.397 5.397 5.055
angles: 90.00 90.00 90.00
Space group P4/mmm (No. 123)
Unique sites:
Zr 0.000 0.000 0.000
Ta 0.000 0.000 0.500
Sb 0.000 0.500 0.000
P 0.500 0.500 0.500

Output
Total magnetization: 0.000 μB per formula unit



## two
A relaxed ZrTaSb2P crystal, computed with PBE-GGA.

abc: 5.175 5.175 4.523
angles: 90.00 90.00 90.00
Space group P4/mmm (No. 123)
Unique sites:
Zr 0.000 0.000 0.000
Ta 0.500 0.500 0.000
Sb 0.000 0.500 0.500
P 0.500 0.500 0.500

Output
Total magnetization: 0.000 μB per formula unit



Which of them is least stable? Easy: one.



## one
A relaxed Tb3Sb2P crystal, computed with PBE-GGA.

abc: 4.290 4.290 18.134
angles: 90.00 90.00 90.00
Space group I4/mmm (No. 139)
Unique sites:
Tb 0.000 0.000 0.000
Tb 0.000 0.000 0.344
Sb 0.000 0.000 0.169
P 0.000 0.000 0.500

Output
Total magnetization: 0.000 μB per formula unit



## two
A relaxed Tb3Sb2P crystal, computed with PBE-GGA.

abc: 7.475 12.825 7.358
angles: 90.00 109.28 90.00
Space group C2/c (No. 15)
Unique sites:
Tb 0.225 0.076 0.497
Tb 0.250 0.250 0.000
Sb 0.000 0.256 0.250
Sb 0.000 0.418 0.750
P 0.000 0.085 0.750

Output
Total magnetization: 0.000 μB per formula unit



Which of them is least stable? Easy: one.



## one
A relaxed Tb5Sb4P crystal, computed with PBE-GGA.

abc: 4.340 4.340 30.580
angles: 90.00 90.00 90.00
Space group I4/mmm (No. 139)
Unique sites:
Tb 0.000 0.000 0.000
Tb 0.000 0.000 0.201
Tb 0.000 0.000 0.407
Sb 0.000 0.000 0.099
Sb 0.000 0.000 0.303
P 0.000 0.000 0.500

Output
Total magnetization: 0.000 μB per formula unit



## two
A relaxed Tb5Sb4P crystal, computed with PBE-GGA.

abc: 9.673 9.673 6.142
angles: 90.00 90.00 90.00
Space group I4/m (No. 87)
Unique sites:
Tb 0.000 0.000 0.000
Tb 0.097 0.717 0.500
Sb 0.094 0.697 0.000
P 0.000 0.000 0.500

Output
Total magnetization: 0.000 μB per formula unit



Which of them is least stable? Easy: one.